## w
Computed, not measured: Cs2TlBiCl6 after structural relaxation at the PBE level of DFT.

Properties
Mass density in g cm⁻³: 3.8

Unit cell a=11.5733 b=11.5733 c=11.5733 alpha=90.00 beta=90.00 gamma=90.00
Closest atoms and distances in Å follow each position.
Space group Fm-3m (No. 225)
Asymmetric unit:
Cs 0.2500 0.2500 0.2500 (multiplicity 8)  12 Cl 4.10
Tl 0.0000 0.0000 0.0000 (multiplicity 4)  6 Cl 3.06
Bi 0.0000 0.0000 0.5000 (multiplicity 4)  6 Cl 2.72
Cl 0.0000 0.0000 0.2648 (multiplicity 24)  1 Bi 2.72

---

## x
Computed, not measured: Cs2TlBiCl6 after structural relaxation at the PBE level of DFT.

Properties
Mass density in g cm⁻³: 3.9

Unit cell a=7.9885 b=8.2923 c=13.9690 alpha=90.00 beta=124.85 gamma=90.00
Closest atoms and distances in Å follow each position.
Space group P2_1/c (No. 14)
Asymmetric unit:
Cs 0.2342 0.0574 0.2502 (multiplicity 4)  6 Cl 3.55-3.83
Tl 0.0000 0.0000 0.5000 (multiplicity 2)  6 Cl 3.15-3.19
Bi 0.5000 0.0000 0.0000 (multiplicity 2)  6 Cl 2.74-2.75
Cl 0.1824 0.1863 0.9599 (multiplicity 4)  1 Bi 2.74
Cl 0.2731 0.7264 0.9559 (multiplicity 4)  1 Bi 2.75
Cl 0.3494 0.0226 0.7686 (multiplicity 4)  1 Bi 2.74

---

x comes first in stability; the runner-up is 1.8 kJ/mol of atoms higher.

---

## w
Computed, not measured: CuBiCl2 after structural relaxation at the PBE level of DFT.

Properties
Mass density in g cm⁻³: 6.1

Unit cell a=3.6062 b=3.6062 c=25.0210 alpha=90.00 beta=90.00 gamma=120.00
Closest atoms and distances in Å follow each position.
Space group R-3m (No. 166, hexagonal axes)
Asymmetric unit:
Cu 0.0000 0.0000 0.0000 (multiplicity 3)  6 Cl 2.51
Bi 0.0000 0.0000 0.5000 (multiplicity 3)  2 Cl 2.77
Cl 0.0000 0.0000 0.3894 (multiplicity 6)  3 Cu 2.51, 1 Bi 2.77

---

## x
Computed, not measured: CuBiCl2 after structural relaxation at the PBE level of DFT.

Properties
Mass density in g cm⁻³: 5.4

Unit cell a=6.6158 b=6.6158 c=9.5923 alpha=90.00 beta=90.00 gamma=90.00
Closest atoms and distances in Å follow each position.
Space group I-42d (No. 122)
Asymmetric unit:
Cu 0.0000 0.0000 0.0000 (multiplicity 4)  4 Cl 2.29
Bi 0.0000 0.0000 0.5000 (multiplicity 4)  4 Cl 3.05
Cl 0.1572 0.2500 0.1250 (multiplicity 8)  2 Cu 2.29

---

## y
Computed, not measured: CuBiCl2 after structural relaxation at the PBE level of DFT.

Properties
Mass density in g cm⁻³: 6.5

Unit cell a=7.0692 b=7.0692 c=7.0692 alpha=90.00 beta=90.00 gamma=90.00
Closest atoms and distances in Å follow each position.
Space group Fm-3m (No. 225)
Asymmetric unit:
Cu 0.0000 0.0000 0.0000 (multiplicity 4)  8 Cl 3.06
Bi 0.0000 0.0000 0.5000 (multiplicity 4)  8 Cl 3.06
Cl 0.2500 0.2500 0.2500 (multiplicity 8)  4 Bi 3.06, 4 Cu 3.06

---

w comes first in stability; the runner-up is 29.3 kJ/mol of atoms higher.